Arrangement one

Material: CdHRu2
Method: DFT, PBE-GGA
State: optimized geometry

Cell lengths 4.968, 4.968, 5.885 Å; angles 65.03, 65.03, 90.00 degrees
Positions (direct):
Ru (0.375, 0.125, 0.250)
Ru (0.375, 0.625, 0.250)
Ru (0.375, 0.625, 0.750)
Ru (0.875, 0.625, 0.750)
H (0.500, 0.500, 0.000)
H (0.250, 0.750, 0.500)
Cd (0.000, 0.000, 0.000)
Cd (0.750, 0.250, 0.500)

- Calculated density: 9.0 g cm⁻³

---

Arrangement two

Material: CdHRu2
Method: DFT, PBE-GGA
State: optimized geometry

Cell lengths 4.314, 4.314, 4.314 Å; angles 60.00, 60.00, 60.00 degrees
Site moments in Bohr magnetons follow the coordinates.
Positions (direct):
Ru (0.250, 0.250, 0.250)  1.02
Ru (0.750, 0.750, 0.750)  1.02
H (0.000, 0.000, 0.000)  -0.02
Cd (0.500, 0.500, 0.500)  0.00

- Calculated density: 9.2 g cm⁻³

---

According to the calculations, the structures order from most to least stable as arrangement one, arrangement two.

---

Arrangement one

Material: Cd2HRu
Method: DFT, PBE-GGA
State: optimized geometry

Cell lengths 4.543, 4.543, 4.543 Å; angles 60.00, 60.00, 60.00 degrees
Site moments in Bohr magnetons follow the coordinates.
Positions (direct):
Ru (0.500, 0.500, 0.500)  0.65
H (0.000, 0.000, 0.000)  0.16
Cd (0.250, 0.250, 0.250)  0.01
Cd (0.750, 0.750, 0.750)  0.01

- Calculated density: 8.2 g cm⁻³

---

Arrangement two

Material: Cd2HRu
Method: DFT, PBE-GGA
State: optimized geometry

Cell lengths 9.613, 9.613, 6.990 Å; angles 46.55, 46.55, 90.00 degrees
Positions (direct):
Ru (0.000, 0.000, 0.000)
Ru (0.750, 0.250, 0.500)
H (0.500, 0.500, 0.000)
H (0.250, 0.750, 0.500)
Cd (0.375, 0.125, 0.250)
Cd (0.375, 0.625, 0.250)
Cd (0.375, 0.625, 0.750)
Cd (0.875, 0.625, 0.750)

- Calculated density: 7.2 g cm⁻³

---

According to the calculations, the structures order from most to least stable as arrangement two, arrangement one.

---

Arrangement one

Material: CdHS3
Method: DFT, PBE-GGA
State: optimized geometry

Cell lengths 4.227, 4.227, 4.227 Å; angles 90.00, 90.00, 90.00 degrees
Positions (direct):
H (0.000, 0.000, 0.000)
S (0.000, 0.500, 0.000)
S (0.000, 0.000, 0.500)
S (0.500, 0.000, 0.000)
Cd (0.500, 0.500, 0.500)

- Calculated density: 4.6 g cm⁻³

---

Arrangement two

Material: CdHS3
Method: DFT, PBE-GGA
State: optimized geometry

Cell lengths 5.192, 5.192, 5.192 Å; angles 90.00, 90.00, 90.00 degrees
Site moments in Bohr magnetons follow the coordinates.
Positions (direct):
Cd (0.000, 0.000, 0.000)  0.03
H (0.500, 0.500, 0.500)  0.38
S (0.000, 0.500, 0.000)  0.81
S (0.000, 0.000, 0.500)  0.81
S (0.500, 0.000, 0.000)  0.81

- Calculated density: 2.5 g cm⁻³

---

According to the calculations, the structures order from most to least stable as arrangement one, arrangement two.

---

Arrangement one

Material: CdH2S
Method: DFT, PBE-GGA
State: optimized geometry

Cell lengths 3.111, 3.111, 6.740 Å; angles 76.66, 76.66, 60.00 degrees
Positions (direct):
H (0.145, 0.145, 0.564)
H (0.855, 0.855, 0.436)
S (0.500, 0.500, 0.500)
Cd (0.000, 0.000, 0.000)

- Calculated density: 4.5 g cm⁻³

---

Arrangement two

Material: CdH2S
Method: DFT, PBE-GGA
State: optimized geometry

Cell lengths 5.461, 5.461, 5.449 Å; angles 59.93, 59.93, 90.00 degrees
Positions (direct):
H (0.375, 0.125, 0.250)
H (0.375, 0.625, 0.250)
H (0.375, 0.625, 0.750)
H (0.875, 0.625, 0.750)
S (0.500, 0.500, 0.000)
S (0.250, 0.750, 0.500)
Cd (0.000, 0.000, 0.000)
Cd (0.750, 0.250, 0.500)

- Calculated density: 4.2 g cm⁻³

---

According to the calculations, the structures order from most to least stable as arrangement two, arrangement one.

---

Arrangement one

Material: Cd2SbH
Method: DFT, PBE-GGA
State: optimized geometry

Cell lengths 4.483, 7.763, 6.103 Å; angles 96.14, 90.01, 90.00 degrees
Positions (direct):
Cd (0.120, 0.904, 0.948)
Cd (0.120, 0.503, 0.508)
Cd (0.444, 0.404, 0.948)
Cd (0.444, 0.003, 0.508)
Sb (0.924, 0.204, 0.728)
Sb (0.640, 0.704, 0.728)
H (0.283, 0.954, 0.228)
H (0.282, 0.454, 0.228)

- Calculated density: 5.5 g cm⁻³

---

Arrangement two

Material: Cd2SbH
Method: DFT, PBE-GGA
State: optimized geometry

Cell lengths 5.879, 5.563, 6.378 Å; angles 29.92, 62.56, 58.10 degrees
Positions (direct):
Cd (0.075, 0.098, 0.751)
Cd (0.774, 0.702, 0.749)
Sb (0.468, 0.310, 0.753)
H (0.182, 0.390, 0.246)

- Calculated density: 6.5 g cm⁻³

---

According to the calculations, the structures order from most to least stable as arrangement one, arrangement two.

---

Arrangement one

Material: CdSbH3
Method: DFT, PBE-GGA
State: optimized geometry

Cell lengths 4.155, 4.155, 4.155 Å; angles 90.00, 90.00, 90.00 degrees
Positions (direct):
Sb (0.000, 0.000, 0.000)
H (0.000, 0.500, 0.000)
H (0.000, 0.000, 0.500)
H (0.500, 0.000, 0.000)
Cd (0.500, 0.500, 0.500)

- Calculated density: 5.5 g cm⁻³

---

Arrangement two

Material: CdSbH3
Method: DFT, PBE-GGA
State: optimized geometry

Cell lengths 4.009, 4.009, 4.009 Å; angles 90.00, 90.00, 90.00 degrees
Positions (direct):
Sb (0.500, 0.500, 0.500)
H (0.000, 0.500, 0.000)
H (0.000, 0.000, 0.500)
H (0.500, 0.000, 0.000)
Cd (0.000, 0.000, 0.000)

- Calculated density: 6.1 g cm⁻³

---

According to the calculations, the structures order from most to least stable as arrangement one, arrangement two.

---

Arrangement one

Material: ScCd2H2
Method: DFT, PBE-GGA
State: optimized geometry

Cell lengths 5.687, 5.687, 4.721 Å; angles 90.00, 90.00, 90.00 degrees
Positions (direct):
Sc (0.000, 0.000, 0.000)
Sc (0.500, 0.500, 0.000)
H (0.197, 0.697, 0.000)
H (0.697, 0.803, 0.000)
H (0.803, 0.303, 0.000)
H (0.303, 0.197, 0.000)
Cd (0.185, 0.685, 0.500)
Cd (0.685, 0.815, 0.500)
Cd (0.815, 0.315, 0.500)
Cd (0.315, 0.185, 0.500)

- Calculated density: 5.9 g cm⁻³

---

Arrangement two

Material: ScCd2H2
Method: DFT, PBE-GGA
State: optimized geometry

Cell lengths 7.694, 7.694, 2.929 Å; angles 90.00, 90.00, 90.00 degrees
Positions (direct):
Sc (0.000, 0.000, 0.000)
Sc (0.500, 0.500, 0.000)
H (0.112, 0.612, 0.500)
H (0.612, 0.888, 0.500)
H (0.888, 0.388, 0.500)
H (0.388, 0.112, 0.500)
Cd (0.367, 0.867, 0.000)
Cd (0.867, 0.633, 0.000)
Cd (0.633, 0.133, 0.000)
Cd (0.133, 0.367, 0.000)

- Calculated density: 5.2 g cm⁻³

---

Arrangement three

Material: ScCd2H2
Method: DFT, PBE-GGA
State: optimized geometry

Cell lengths 3.269, 3.269, 7.547 Å; angles 77.49, 77.49, 90.00 degrees
Site moments in Bohr magnetons follow the coordinates.
Positions (direct):
Sc (0.000, 0.000, 0.000)  0.42
H (0.750, 0.250, 0.500)  -0.01
H (0.250, 0.750, 0.500)  -0.01
Cd (0.349, 0.349, 0.302)  0.00
Cd (0.651, 0.651, 0.698)  0.00

- Calculated density: 5.9 g cm⁻³

---

According to the calculations, the structures order from most to least stable as arrangement one, arrangement three, arrangement two.

---

Arrangement one

Material: Sc2CdH
Method: DFT, PBE-GGA
State: optimized geometry

Cell lengths 6.420, 6.420, 5.742 Å; angles 56.01, 56.01, 90.00 degrees
Positions (direct):
Sc (0.511, 0.125, 0.250)
Sc (0.239, 0.625, 0.250)
Sc (0.375, 0.489, 0.750)
Sc (0.875, 0.761, 0.750)
H (0.500, 0.500, 0.000)
H (0.250, 0.750, 0.500)
Cd (0.000, 0.000, 0.000)
Cd (0.750, 0.250, 0.500)

- Calculated density: 4.7 g cm⁻³

---

Arrangement two

Material: Sc2CdH
Method: DFT, PBE-GGA
State: optimized geometry

Cell lengths 4.760, 4.760, 4.760 Å; angles 60.00, 60.00, 60.00 degrees
Positions (direct):
Sc (0.250, 0.250, 0.250)
Sc (0.750, 0.750, 0.750)
H (0.000, 0.000, 0.000)
Cd (0.500, 0.500, 0.500)

- Calculated density: 4.4 g cm⁻³

---

According to the calculations, the structures order from most to least stable as arrangement one, arrangement two.

---

Arrangement one

Material: Sc2TlCdH
Method: DFT, PBE-GGA
State: optimized geometry

Cell lengths 4.480, 4.480, 4.516 Å; angles 90.00, 90.00, 90.00 degrees
Site moments in Bohr magnetons follow the coordinates.
Positions (direct):
Sc (0.000, 0.500, 0.000)  0.42
Sc (0.500, 0.000, 0.000)  0.42
H (0.000, 0.000, 0.000)  -0.01
Tl (0.500, 0.500, 0.500)  -0.01
Cd (0.000, 0.000, 0.500)  0.01

- Calculated density: 7.5 g cm⁻³

---

Arrangement two

Material: Sc2TlCdH
Method: DFT, PBE-GGA
State: optimized geometry

Cell lengths 4.418, 4.418, 4.757 Å; angles 90.00, 90.00, 90.00 degrees
Site moments in Bohr magnetons follow the coordinates.
Positions (direct):
Sc (0.000, 0.500, 0.000)  0.42
Sc (0.500, 0.000, 0.000)  0.42
H (0.000, 0.000, 0.000)  -0.01
Tl (0.000, 0.000, 0.500)  0.01
Cd (0.500, 0.500, 0.500)  0.00

- Calculated density: 7.3 g cm⁻³

---

According to the calculations, the structures order from most to least stable as arrangement one, arrangement two.

---

Arrangement one

Material: Sc2ZnCdH
Method: DFT, PBE-GGA
State: optimized geometry

Cell lengths 4.568, 4.568, 3.951 Å; angles 90.00, 90.00, 90.00 degrees
Site moments in Bohr magnetons follow the coordinates.
Positions (direct):
Sc (0.000, 0.500, 0.000)  0.27
Sc (0.500, 0.000, 0.000)  0.27
H (0.000, 0.000, 0.000)  0.00
Zn (0.000, 0.000, 0.500)  0.01
Cd (0.500, 0.500, 0.500)  0.01

- Calculated density: 5.4 g cm⁻³

---

Arrangement two

Material: Sc2ZnCdH
Method: DFT, PBE-GGA
State: optimized geometry

Cell lengths 4.390, 4.390, 4.302 Å; angles 90.00, 90.00, 90.00 degrees
Site moments in Bohr magnetons follow the coordinates.
Positions (direct):
Sc (0.000, 0.500, 0.000)  0.30
Sc (0.500, 0.000, 0.000)  0.30
H (0.000, 0.000, 0.000)  0.00
Zn (0.500, 0.500, 0.500)  0.00
Cd (0.000, 0.000, 0.500)  0.01

- Calculated density: 5.4 g cm⁻³

---

According to the calculations, the structures order from most to least stable as arrangement one, arrangement two.

---

Arrangement one

Material: CdHSe2
Method: DFT, PBE-GGA
State: optimized geometry

Cell lengths 4.749, 4.749, 4.749 Å; angles 60.00, 60.00, 60.00 degrees
Site moments in Bohr magnetons follow the coordinates.
Positions (direct):
H (0.000, 0.000, 0.000)  0.31
Se (0.250, 0.250, 0.250)  0.02
Se (0.750, 0.750, 0.750)  0.02
Cd (0.500, 0.500, 0.500)  0.04

- Calculated density: 5.9 g cm⁻³

---

Arrangement two

Material: CdHSe2
Method: DFT, PBE-GGA
State: optimized geometry

Cell lengths 6.674, 6.674, 6.674 Å; angles 37.15, 37.15, 37.15 degrees
Site moments in Bohr magnetons follow the coordinates.
Positions (direct):
H (0.000, 0.000, 0.000)  -0.01
Se (0.093, 0.093, 0.093)  0.33
Se (0.907, 0.907, 0.907)  0.33
Cd (0.500, 0.500, 0.500)  0.02

- Calculated density: 4.6 g cm⁻³

---

Arrangement three

Material: CdHSe2
Method: DFT, PBE-GGA
State: optimized geometry

Cell lengths 5.743, 5.743, 6.332 Å; angles 63.03, 63.03, 90.00 degrees
Positions (direct):
H (0.500, 0.500, 0.000)
H (0.250, 0.750, 0.500)
Se (0.540, 0.125, 0.250)
Se (0.210, 0.625, 0.250)
Se (0.375, 0.460, 0.750)
Se (0.875, 0.790, 0.750)
Cd (0.000, 0.000, 0.000)
Cd (0.750, 0.250, 0.500)

- Calculated density: 5.6 g cm⁻³

---

According to the calculations, the structures order from most to least stable as arrangement two, arrangement three, arrangement one.

---

Arrangement one

Material: Cd3HSe
Method: DFT, PBE-GGA
State: optimized geometry

Cell lengths 5.542, 5.542, 5.542 Å; angles 90.00, 90.00, 90.00 degrees
Positions (direct):
H (0.500, 0.500, 0.500)
Se (0.000, 0.000, 0.000)
Cd (0.000, 0.500, 0.000)
Cd (0.000, 0.000, 0.500)
Cd (0.500, 0.000, 0.000)

- Calculated density: 4.1 g cm⁻³

---

Arrangement two

Material: Cd3HSe
Method: DFT, PBE-GGA
State: optimized geometry

Cell lengths 4.614, 4.614, 4.614 Å; angles 90.00, 90.00, 90.00 degrees
Positions (direct):
H (0.000, 0.000, 0.000)
Se (0.500, 0.500, 0.500)
Cd (0.000, 0.500, 0.000)
Cd (0.000, 0.000, 0.500)
Cd (0.500, 0.000, 0.000)

- Calculated density: 7.1 g cm⁻³

---

According to the calculations, the structures order from most to least stable as arrangement two, arrangement one.

---

Arrangement one

Material: CdH2Se
Method: DFT, PBE-GGA
State: optimized geometry

Cell lengths 5.796, 5.796, 5.818 Å; angles 60.13, 60.13, 90.00 degrees
Positions (direct):
H (0.375, 0.125, 0.250)
H (0.375, 0.625, 0.250)
H (0.375, 0.625, 0.750)
H (0.875, 0.625, 0.750)
Se (0.500, 0.500, 0.000)
Se (0.250, 0.750, 0.500)
Cd (0.000, 0.000, 0.000)
Cd (0.750, 0.250, 0.500)

- Calculated density: 4.6 g cm⁻³

---

Arrangement two

Material: CdH2Se
Method: DFT, PBE-GGA
State: optimized geometry

Cell lengths 4.143, 4.143, 4.143 Å; angles 60.00, 60.00, 60.00 degrees
Positions (direct):
H (0.250, 0.250, 0.250)
H (0.750, 0.750, 0.750)
Se (0.000, 0.000, 0.000)
Cd (0.500, 0.500, 0.500)

- Calculated density: 6.4 g cm⁻³

---

According to the calculations, the structures order from most to least stable as arrangement one, arrangement two.